Compound: Li9Fe5Si2O16
Source: Alexandria
Functional: PBE with a Hubbard U
Structure: optimized geometry

Crystal system: monoclinic
DOS at the Fermi energy in states/eV/f.u.: 0.0
Spin magnetization in μB per formula unit: 25.00
Electronic total energy in eV/atom: -6.211

a b c (Å): 5.0743 11.6033 5.1220
angles (deg): 90.00 109.40 90.00
Closest atoms and distances in Å follow each position.
Positions (direct):
Li: 0.0000 0.0000 0.0000  6 O 2.06-2.11
Li: 0.0000 0.1150 0.5000  6 O 2.12-2.37
Li: 0.0000 0.3752 0.5000  6 O 2.12-2.31
Li: 0.0000 0.6248 0.5000  6 O 2.12-2.31
Li: 0.0000 0.8850 0.5000  6 O 2.12-2.37
Li: 0.5000 0.0000 0.5000  6 O 2.08-2.11
Li: 0.5000 0.2410 0.5000  6 O 2.04-2.18
Li: 0.5000 0.5000 0.5000  6 O 2.12-2.15
Li: 0.5000 0.7590 0.5000  6 O 2.04-2.18
Fe: 0.0000 0.2385 0.0000  6 O 1.97-2.08
Fe: 0.0000 0.5000 0.0000  6 O 2.04-2.05
Fe: 0.0000 0.7615 0.0000  6 O 1.97-2.08
Fe: 0.5000 0.3704 0.0000  6 O 2.04-2.08
Fe: 0.5000 0.6296 0.0000  6 O 2.04-2.08
Si: 0.5000 0.1168 0.0000  6 O 1.80-1.89
Si: 0.5000 0.8832 0.0000  6 O 1.80-1.89
O: 0.2417 0.3722 0.2312  3 Fe 2.04-2.08, 3 Li 2.13-2.18
O: 0.2417 0.6278 0.2312  3 Fe 2.04-2.08, 3 Li 2.13-2.18
O: 0.2581 0.5000 0.7664  3 Fe 2.05-2.06, 3 Li 2.12
O: 0.2709 0.2327 0.7785  1 Si 1.89, 2 Fe 2.05-2.08
O: 0.2709 0.7673 0.7785  1 Si 1.89, 2 Fe 2.05-2.08
O: 0.2791 0.1247 0.2108  1 Si 1.80, 1 Fe 1.97
O: 0.2791 0.8753 0.2108  1 Si 1.80, 1 Fe 1.97
O: 0.2932 0.0000 0.7886  2 Si 1.83
O: 0.7068 0.0000 0.2114  2 Si 1.83
O: 0.7209 0.1247 0.7892  1 Si 1.80, 1 Fe 1.97
O: 0.7209 0.8753 0.7892  1 Si 1.80, 1 Fe 1.97
O: 0.7291 0.2327 0.2215  1 Si 1.89, 2 Fe 2.05-2.08
O: 0.7291 0.7673 0.2215  1 Si 1.89, 2 Fe 2.05-2.08
O: 0.7419 0.5000 0.2336  3 Fe 2.05-2.06, 3 Li 2.12
O: 0.7583 0.3722 0.7688  3 Fe 2.04-2.08, 3 Li 2.13-2.18
O: 0.7583 0.6278 0.7688  3 Fe 2.04-2.08, 3 Li 2.13-2.18